PBE-GGA AlCoTc2, optimized geometry; density of states at the Fermi level = 2.916 states/eV per cell; calculated total energy = -8.01 eV per atom
1.0
3.0979 0.0000 0.0000
0.0000 4.1436 0.0000
0.0000 0.0000 4.2210
Al Co Tc
1 1 2
direct
0.0000 0.0000 0.0000
0.5000 0.5000 0.0000
0.0000 0.5000 0.5000
0.5000 0.0000 0.5000